Model one:
Density functional theory data (PBE) for a relaxed Gd2Er3Hg3 crystal.

Lattice parameters (Å, degrees): 5.5752 7.2976 10.6735 90.00 90.00 90.00
Space group Amm2 (No. 38)
Symmetry-distinct sites (fractional):
Gd (0.0000, 0.0000, 0.0000)
Gd (0.5000, 0.0000, 0.3613)
Er (0.0000, 0.0000, 0.5564)
Er (0.5000, 0.2426, 0.6172)
Hg (0.0000, 0.2100, 0.2748)
Hg (0.5000, 0.0000, 0.8629)

Computed properties:
For the magnetization, the calculation gives 0.05 μB per formula unit.

=====

Model two:
Density functional theory data (PBE) for a relaxed Gd2Er3Hg3 crystal.

Lattice parameters (Å, degrees): 6.9526 6.9526 5.1743 90.00 90.00 120.00
Space group P-6m2 (No. 187)
Symmetry-distinct sites (fractional):
Gd (0.0000, 0.0000, 0.0000)
Gd (0.3333, 0.6667, 0.5000)
Er (0.5035, 0.0069, 0.0000)
Hg (0.3414, 0.1707, 0.5000)

Computed properties:
For the magnetization, the calculation gives 0.46 μB per formula unit.

=====

Ranked by calculated energy, most stable first: model one, model two.

=====

Model one:
Density functional theory data (PBE) for a relaxed GdEr2Hg crystal.

Lattice parameters (Å, degrees): 6.8449 11.8730 5.3944 90.00 90.00 90.00
Space group Cmcm (No. 63)
Symmetry-distinct sites (fractional):
Gd (0.0000, 0.1735, 0.2500)
Er (0.2425, 0.4151, 0.2500)
Hg (0.0000, 0.3354, 0.7500)

Computed properties:
For the magnetization, the calculation gives 0.03 μB per formula unit.

=====

Model two:
Density functional theory data (PBE) for a relaxed GdEr2Hg crystal.

Lattice parameters (Å, degrees): 5.4090 7.2954 11.2997 90.00 90.00 90.00
Space group Amm2 (No. 38)
Symmetry-distinct sites (fractional):
Gd (0.0000, 0.0000, 0.0000)
Gd (0.5000, 0.0000, 0.3098)
Er (0.0000, 0.0000, 0.5068)
Er (0.5000, 0.0000, 0.8071)
Er (0.5000, 0.2438, 0.0653)
Hg (0.0000, 0.2456, 0.7445)

Computed properties:
For the magnetization, the calculation gives 0.03 μB per formula unit.

=====

Model three:
Density functional theory data (PBE) for a relaxed GdEr2Hg crystal.

Lattice parameters (Å, degrees): 5.1197 10.5704 8.3066 90.00 90.00 90.00
Space group Ama2 (No. 40)
Symmetry-distinct sites (fractional):
Gd (0.2500, 0.1146, 0.0000)
Er (0.2500, 0.1127, 0.5806)
Er (0.2500, 0.3902, 0.7923)
Hg (0.2500, 0.3236, 0.2878)

Computed properties:
For the magnetization, the calculation gives 0.01 μB per formula unit.

=====

Ranked by calculated energy, most stable first: model three, model one, model two.

=====

Model one:
Density functional theory data (PBE) for a relaxed GdErIn crystal.

Lattice parameters (Å, degrees): 5.3886 5.3886 6.7240 90.00 90.00 120.00
Space group P6_3/mmc (No. 194)
Symmetry-distinct sites (fractional):
Gd (0.0000, 0.0000, 0.0000)
Er (0.3333, 0.6667, 0.2500)
In (0.3333, 0.6667, 0.7500)

Computed properties:
For the magnetization, the calculation gives 0.23 μB per formula unit.

=====

Model two:
Density functional theory data (PBE) for a relaxed GdErIn crystal.

Lattice parameters (Å, degrees): 7.3209 7.3209 7.3209 90.00 90.00 90.00
Space group F-43m (No. 216)
Symmetry-distinct sites (fractional):
Gd (0.0000, 0.0000, 0.0000)
Er (0.0000, 0.0000, 0.5000)
In (0.2500, 0.2500, 0.7500)

Computed properties:
For the magnetization, the calculation gives 0.03 μB per formula unit.

=====

Ranked by calculated energy, most stable first: model one, model two.

=====

Model one:
Density functional theory data (PBE) for a relaxed Gd2ErMg crystal.

Lattice parameters (Å, degrees): 5.6056 7.1236 11.9661 90.00 90.00 90.00
Space group Amm2 (No. 38)
Symmetry-distinct sites (fractional):
Gd (0.0000, 0.0000, 0.0000)
Gd (0.0000, 0.2504, 0.2517)
Gd (0.5000, 0.0000, 0.6759)
Er (0.0000, 0.0000, 0.5019)
Er (0.5000, 0.0000, 0.1775)
Mg (0.5000, 0.2462, 0.4230)

Computed properties:
For the magnetization, the calculation gives 0.05 μB per formula unit.

=====

Model two:
Density functional theory data (PBE) for a relaxed Gd2ErMg crystal.

Lattice parameters (Å, degrees): 5.5766 12.0179 7.0975 90.00 90.00 90.00
Space group Ama2 (No. 40)
Symmetry-distinct sites (fractional):
Gd (0.2500, 0.0821, 0.0000)
Gd (0.2500, 0.3384, 0.7535)
Er (0.2500, 0.3364, 0.2541)
Mg (0.2500, 0.0886, 0.5057)

Computed properties:
For the magnetization, the calculation gives 0.01 μB per formula unit.

=====

Model three:
Density functional theory data (PBE) for a relaxed Gd2ErMg crystal.

Lattice parameters (Å, degrees): 7.0554 12.1632 5.5407 90.00 90.00 90.00
Space group Cmcm (No. 63)
Symmetry-distinct sites (fractional):
Gd (0.2434, 0.0861, 0.2500)
Er (0.0000, 0.3311, 0.2500)
Mg (0.0000, 0.1677, 0.7500)

Computed properties:
For the magnetization, the calculation gives 0.02 μB per formula unit.

=====

Ranked by calculated energy, most stable first: model three, model two, model one.

=====

Model one:
Density functional theory data (PBE) for a relaxed GdErPO crystal.

Lattice parameters (Å, degrees): 4.1292 7.4811 5.5821 90.00 90.00 90.00
Space group Pmc2_1 (No. 26)
Symmetry-distinct sites (fractional):
Gd (0.0000, 0.1266, 0.0000)
Er (0.5000, 0.2946, 0.4555)
P (0.5000, 0.3482, 0.9516)
O (0.0000, 0.1773, 0.4121)

Computed properties:
For the magnetization, the calculation gives 0.02 μB per formula unit.

=====

Model two:
Density functional theory data (PBE) for a relaxed GdErPO crystal.

Lattice parameters (Å, degrees): 4.1791 7.4182 5.7673 90.00 90.00 90.00
Space group Pmc2_1 (No. 26)
Symmetry-distinct sites (fractional):
Gd (0.0000, 0.2010, 0.0000)
Er (0.5000, 0.3805, 0.5638)
P (0.0000, 0.1681, 0.4944)
O (0.5000, 0.3335, 0.9413)

Computed properties:
For the magnetization, the calculation gives 0.02 μB per formula unit.

=====

Ranked by calculated energy, most stable first: model two, model one.

=====

Model one:
Density functional theory data (PBE) for a relaxed GdErPO crystal.

Lattice parameters (Å, degrees): 4.3042 4.3042 8.6105 90.00 90.00 90.00
Space group P4/nmm (No. 129, origin choice 2)
Symmetry-distinct sites (fractional):
Gd (0.2500, 0.2500, 0.1067)
Er (0.2500, 0.7500, 0.5000)
P (0.2500, 0.2500, 0.6916)
O (0.2500, 0.7500, 0.0000)

Computed properties:
For the magnetization, the calculation gives 0.01 μB per formula unit.

=====

Model two:
Density functional theory data (PBE) for a relaxed GdErPO crystal.

Lattice parameters (Å, degrees): 4.2966 4.2966 8.5307 90.00 90.00 90.00
Space group P4/nmm (No. 129, origin choice 2)
Symmetry-distinct sites (fractional):
Gd (0.2500, 0.7500, 0.0000)
Er (0.2500, 0.2500, 0.4017)
P (0.2500, 0.2500, 0.7962)
O (0.2500, 0.7500, 0.5000)

Computed properties:
For the magnetization, the calculation gives 0.01 μB per formula unit.

=====

Ranked by calculated energy, most stable first: model one, model two.

=====

Model one:
Density functional theory data (PBE) for a relaxed GdErTeO2 crystal.

Lattice parameters (Å, degrees): 3.8901 3.8901 7.1804 90.00 90.00 120.00
Space group P3m1 (No. 156)
Symmetry-distinct sites (fractional):
Gd (0.0000, 0.0000, 0.0000)
Er (0.3333, 0.6667, 0.6088)
Te (0.6667, 0.3333, 0.3078)
O (0.0000, 0.0000, 0.6798)
O (0.3333, 0.6667, 0.9206)

Computed properties:
For the magnetization, the calculation gives 0.00 μB per formula unit.

=====

Model two:
Density functional theory data (PBE) for a relaxed GdErTeO2 crystal.

Lattice parameters (Å, degrees): 3.9127 3.9127 12.4358 90.00 90.00 90.00
Space group I4mm (No. 107)
Symmetry-distinct sites (fractional):
Gd (0.0000, 0.0000, 0.0000)
Er (0.0000, 0.0000, 0.6760)
Te (0.0000, 0.0000, 0.3388)
O (0.0000, 0.5000, 0.0920)

Computed properties:
For the magnetization, the calculation gives 0.00 μB per formula unit.

=====

Ranked by calculated energy, most stable first: model two, model one.

=====

Model one:
Density functional theory data (PBE) for a relaxed ErGeHO4 crystal.

Lattice parameters (Å, degrees): 6.6569 6.8592 7.3434 72.81 89.98 90.00
Space group P1 (No. 1)
Symmetry-distinct sites (fractional):
Er (0.0000, 0.0000, 0.0000)
Er (0.2110, 0.4999, 0.0003)
Er (0.4916, 0.6814, 0.5848)
Er (0.7190, 0.1815, 0.5846)
Ge (0.2513, 0.2240, 0.5429)
Ge (0.4628, 0.9888, 0.0258)
Ge (0.7480, 0.4888, 0.0263)
Ge (0.9595, 0.7239, 0.5429)
H (0.0244, 0.4618, 0.3625)
H (0.1868, 0.9615, 0.3624)
H (0.5250, 0.9903, 0.3229)
H (0.6853, 0.4911, 0.3232)
O (0.0405, 0.1369, 0.6820)
O (0.0619, 0.9003, 0.3269)
O (0.1496, 0.4014, 0.3272)
O (0.1699, 0.6365, 0.6823)
O (0.2867, 0.8203, 0.9837)
O (0.2960, 0.1792, 0.0439)
O (0.3933, 0.0251, 0.4992)
O (0.4443, 0.3575, 0.6115)
O (0.5363, 0.5507, 0.8844)
O (0.5726, 0.8846, 0.2618)
O (0.6372, 0.3857, 0.2620)
O (0.6750, 0.0510, 0.8844)
O (0.7664, 0.8579, 0.6107)
O (0.8175, 0.5249, 0.4994)
O (0.9150, 0.6793, 0.0437)
O (0.9243, 0.3195, 0.9859)

Computed properties:
For the magnetization, the calculation gives 0.00 μB per formula unit.

=====

Model two:
Density functional theory data (PBE) for a relaxed ErGeHO4 crystal.

Lattice parameters (Å, degrees): 4.5182 6.5105 5.1165 90.00 97.64 90.00
Space group P2_1/m (No. 11)
Symmetry-distinct sites (fractional):
Er (0.0575, 0.2500, 0.2032)
Ge (0.4331, 0.7500, 0.3176)
H (0.5000, 0.0000, 0.0000)
O (0.1758, 0.2500, 0.6557)
O (0.2793, 0.5475, 0.1002)
O (0.3735, 0.7500, 0.6434)

Computed properties:
For the magnetization, the calculation gives 0.00 μB per formula unit.

=====

Ranked by calculated energy, most stable first: model one, model two.